This record from Alexandria via LeMat-Bulk describes an optimized crystal structure of ZrCo5B3. The functional is PBE-GGA.

## Properties
Calculated total energy: -7.3910 eV/atom
E_form: -0.27 eV per atom

Cell lengths 5.593, 5.593, 10.131 Å; angles 90.00, 90.00, 144.34 degrees
Element x y z (fractional)
Zr (0.163, 0.837, 0.750)
Zr (0.837, 0.163, 0.250)
Co (0.000, 0.000, 0.000)
Co (0.000, 0.000, 0.500)
Co (0.205, 0.795, 0.069)
Co (0.205, 0.795, 0.431)
Co (0.440, 0.560, 0.644)
Co (0.440, 0.560, 0.856)
Co (0.560, 0.440, 0.144)
Co (0.560, 0.440, 0.356)
Co (0.795, 0.205, 0.569)
Co (0.795, 0.205, 0.931)
B (0.131, 0.869, 0.250)
B (0.388, 0.612, 0.053)
B (0.388, 0.612, 0.447)
B (0.612, 0.388, 0.553)
B (0.612, 0.388, 0.947)
B (0.869, 0.131, 0.750)